Record 1
Entry from the Alexandria database: an optimized crystal structure of Rb3Sb2Pb (PBE).

a b c (Å): 7.4618 7.4618 14.4911
angles (deg): 93.64 93.64 41.85
Atoms (fractional coordinates):
Rb: 0.1225 0.1225 0.2684
Rb: 0.1475 0.1475 0.5732
Rb: 0.3684 0.3684 0.9628
Rb: 0.6316 0.6316 0.0372
Rb: 0.8525 0.8525 0.4268
Rb: 0.8775 0.8775 0.7316
Sb: 0.1090 0.1090 0.8556
Sb: 0.4454 0.4454 0.5818
Sb: 0.5546 0.5546 0.4182
Sb: 0.8910 0.8910 0.1444
Pb: 0.3875 0.3875 0.2602
Pb: 0.6125 0.6125 0.7398

Calculated values
**V**: 537.1 Å³ per cell
**Formation energy from raw total energies**: -303 meV/atom

Record 2
Entry from the Alexandria database: an optimized crystal structure of Rb2Sb2Pb (PBE).

a b c (Å): 8.2560 8.2560 5.8775
angles (deg): 90.00 90.00 90.00
Atoms (fractional coordinates):
Rb: 0.1762 0.3238 0.0000
Rb: 0.3238 0.8238 0.0000
Rb: 0.6762 0.1762 0.0000
Rb: 0.8238 0.6762 0.0000
Sb: 0.1221 0.6221 0.5000
Sb: 0.3779 0.1221 0.5000
Sb: 0.6221 0.8779 0.5000
Sb: 0.8779 0.3779 0.5000
Pb: 0.0000 0.0000 0.5000
Pb: 0.5000 0.5000 0.5000

Calculated values
**V**: 400.6 Å³ per cell
**Energy above the most stable polymorph in this dataset**: 43 meV per atom
**Formation energy from raw total energies**: -283 meV/atom

Record 3
Entry from the Alexandria database: an optimized crystal structure of RbSbPb (PBE).

a b c (Å): 5.3366 5.3366 5.3567
angles (deg): 90.00 90.00 120.00
Atoms (fractional coordinates):
Rb: 0.0000 0.0000 0.0000
Sb: 0.3333 0.6667 0.5000
Pb: 0.6667 0.3333 0.5000

Calculated values
**V**: 132.1 Å³ per cell
**Formation energy from raw total energies**: -183 meV/atom

Record 4
Entry from the Alexandria database: an optimized crystal structure of RbSb2Pb5 (PBE).

a b c (Å): 8.4537 8.4537 8.4537
angles (deg): 149.31 105.58 82.62
Atoms (fractional coordinates):
Rb: 0.0000 0.0000 0.0000
Sb: 0.2364 0.7364 0.5000
Sb: 0.7636 0.2636 0.5000
Pb: 0.1644 0.3471 0.8173
Pb: 0.4702 0.6529 0.8173
Pb: 0.5000 0.0000 0.5000
Pb: 0.5298 0.3471 0.1827
Pb: 0.8356 0.6529 0.1827

Calculated values
**V**: 290.5 Å³ per cell
**Formation energy from raw total energies**: -72 meV/atom

Record 5
Entry from the Alexandria database: an optimized crystal structure of Rb5Sb4Pb4 (PBE).

a b c (Å): 10.3940 10.3940 10.3940
angles (deg): 93.82 93.82 150.09
Atoms (fractional coordinates):
Rb: 0.0000 0.0000 0.0000
Rb: 0.2935 0.6412 0.9347
Rb: 0.3588 0.2935 0.6522
Rb: 0.6412 0.7065 0.3478
Rb: 0.7065 0.3588 0.0653
Sb: 0.0440 0.7326 0.7766
Sb: 0.2674 0.0440 0.3114
Sb: 0.7326 0.9560 0.6886
Sb: 0.9560 0.2674 0.2234
Pb: 0.1018 0.4364 0.5382
Pb: 0.4364 0.8982 0.3347
Pb: 0.5636 0.1018 0.6653
Pb: 0.8982 0.5636 0.4618

Calculated values
**V**: 540.9 Å³ per cell
**Formation energy from raw total energies**: -275 meV/atom

Record 6
Entry from the Alexandria database: an optimized crystal structure of Rb3Sb3Pb2 (PBE).

a b c (Å): 7.1863 7.1863 17.0428
angles (deg): 90.00 90.00 133.06
Atoms (fractional coordinates):
Rb: 0.0755 0.9245 0.6199
Rb: 0.0755 0.9245 0.8801
Rb: 0.3681 0.6319 0.7500
Rb: 0.6319 0.3681 0.2500
Rb: 0.9245 0.0755 0.1199
Rb: 0.9245 0.0755 0.3801
Sb: 0.3241 0.6759 0.2500
Sb: 0.3976 0.6024 0.5361
Sb: 0.3976 0.6024 0.9639
Sb: 0.6024 0.3976 0.0361
Sb: 0.6024 0.3976 0.4639
Sb: 0.6759 0.3241 0.7500
Pb: 0.2186 0.7814 0.0861
Pb: 0.2186 0.7814 0.4139
Pb: 0.7814 0.2186 0.5861
Pb: 0.7814 0.2186 0.9139

Calculated values
**V**: 643.0 Å³ per cell
**Formation energy from raw total energies**: -302 meV/atom

Record 7
Entry from the Alexandria database: an optimized crystal structure of Rb3SbPb (PBE).

a b c (Å): 7.0152 7.0152 7.0152
angles (deg): 90.00 90.00 90.00
Atoms (fractional coordinates):
Rb: 0.0000 0.0000 0.5000
Rb: 0.0000 0.5000 0.0000
Rb: 0.5000 0.0000 0.0000
Sb: 0.0000 0.0000 0.0000
Pb: 0.5000 0.5000 0.5000

Calculated values
**V**: 345.2 Å³ per cell
**Energy above the most stable polymorph in this dataset**: 285 meV per atom
**Formation energy from raw total energies**: 145 meV/atom

Record 8
Entry from the Alexandria database: an optimized crystal structure of RbSbPb (PBE).

a b c (Å): 5.6775 5.6775 5.6775
angles (deg): 60.00 60.00 60.00
Atoms (fractional coordinates):
Rb: 0.0000 0.0000 0.0000
Sb: 0.2500 0.2500 0.2500
Pb: 0.5000 0.5000 0.5000

Calculated values
**V**: 129.4 Å³ per cell
**Formation energy from raw total energies**: -97 meV/atom